Here is a geometry-optimized NiAg2Sb structure from the Alexandria database. Energies are from GGA-PBE.

Cell lengths 8.4426, 3.8002, 5.7146 Å; angles 90.00, 124.20, 90.00 degrees
Space group Cm (No. 8)
Unique sites:
Ni 0.0000 0.0000 0.0000 (multiplicity 2)
Ag 0.2568 0.0000 0.5830 (multiplicity 2)
Ag 0.4591 0.0000 0.3134 (multiplicity 2)
Sb 0.1696 0.5000 0.9352 (multiplicity 2)

## Properties
total DFT energy (no corrections): -3.81 eV per atom
DOS at the Fermi energy: 2.65 states/eV/cell

Here is a geometry-optimized NiAgSb2 structure from the Alexandria database. Energies are from GGA-PBE.

Cell lengths 6.6191, 6.6191, 9.2666 Å; angles 90.00, 90.00, 90.00 degrees
Space group I-42d (No. 122)
Unique sites:
Ni 0.0000 0.0000 0.0000 (multiplicity 4)
Ag 0.0000 0.0000 0.5000 (multiplicity 4)
Sb 0.2105 0.2500 0.1250 (multiplicity 8)

## Properties
total DFT energy (no corrections): -3.98 eV per atom
DOS at the Fermi energy: 10.15 states/eV/cell

Here is a geometry-optimized NiAgSb2 structure from the Alexandria database. Energies are from GGA-PBE.

Cell lengths 3.2113, 3.2113, 8.0513 Å; angles 90.00, 90.00, 90.00 degrees
Space group P4mm (No. 99)
Unique sites:
Ni 0.0000 0.0000 0.0000 (multiplicity 1)
Ag 0.5000 0.5000 0.7914 (multiplicity 1)
Sb 0.0000 0.0000 0.5406 (multiplicity 1)
Sb 0.5000 0.5000 0.1646 (multiplicity 1)

## Properties
total DFT energy (no corrections): -4.15 eV per atom
DOS at the Fermi energy: 2.01 states/eV/cell

Formation energy from raw total energies (computed, eV per atom): 0.0929 0.2373 0.0694